Record 1
GdScHg PBE optimized geometry; space group = P3m1 (156); final energy = -7.12 eV/atom; energy of formation = -0.214 eV per atom; V = 26.5 Å³ per atom; polymorph energy (0 for the lowest one) = 0.079 eV per atom
1.0
4.9673 0.0000 0.0000
-2.4836 4.3018 0.0000
0.0000 0.0000 3.7170
Gd Sc Hg
1 1 1
Direct
0.0000 0.0000 0.0000
0.3333 0.6667 0.5007
0.6667 0.3333 0.4977


Record 2
GdScHg2 PBE optimized geometry; space group = Fm-3m (225); final energy = -5.70 eV/atom; energy of formation = -0.447 eV per atom; V = 24.2 Å³ per atom; polymorph energy (0 for the lowest one) = 0.017 eV per atom
1.0
0.0000 3.6438 3.6438
3.6438 0.0000 3.6438
3.6438 3.6438 0.0000
Gd Sc Hg
1 1 2
Direct
0.0000 0.0000 0.0000
0.5000 0.5000 0.5000
0.2500 0.2500 0.2500
0.7500 0.7500 0.7500


Record 3
GdScHg2 PBE optimized geometry; space group = P4/mmm (123); final energy = -5.72 eV/atom; energy of formation = -0.464 eV per atom; V = 24.0 Å³ per atom; polymorph energy (0 for the lowest one) = 0.000 eV per atom
1.0
3.5821 0.0000 0.0000
0.0000 3.5821 0.0000
0.0000 0.0000 7.4663
Gd Sc Hg
1 1 2
Direct
0.0000 0.0000 0.0000
0.0000 0.0000 0.5000
0.5000 0.5000 0.2755
0.5000 0.5000 0.7245


Record 4
SmGdScHg PBE optimized geometry; space group = F-43m (216); final energy = -6.45 eV/atom; energy of formation = -0.095 eV per atom; V = 27.3 Å³ per atom
1.0
0.0000 3.7951 3.7951
3.7951 0.0000 3.7951
3.7951 3.7951 0.0000
Sm Gd Sc Hg
1 1 1 1
Direct
0.0000 0.0000 0.0000
0.5000 0.5000 0.5000
0.2500 0.2500 0.2500
0.7500 0.7500 0.7500


Which of these has the lowest V? number 3


What is the final energy in the second record? -5.70 eV/atom